5
Lattice="4.4190 0.0000 0.0000 0.0000 4.4190 0.0000 0.0000 0.0000 4.4190" Properties=species:S:1:pos:R:3 comment="Mn3VN (PBE, relaxed)" de_polymorph_mev_per_atom=2190.1 m_tot_mub_per_atom=1.548 pbc="T T T"
Mn 0.0000 2.2095 0.0000
V 0.0000 0.0000 0.0000
Mn 0.0000 0.0000 2.2095
Mn 2.2095 0.0000 0.0000
N 2.2095 2.2095 2.2095

---

5
Lattice="3.7354 0.0000 0.0000 0.0000 3.7354 0.0000 0.0000 0.0000 3.7354" Properties=species:S:1:pos:R:3 comment="Mn3VN (PBE, relaxed)" de_polymorph_mev_per_atom=0.0 m_tot_mub_per_atom=0.041 pbc="T T T"
N 0.0000 0.0000 0.0000
Mn 0.0000 1.8677 0.0000
Mn 1.8677 0.0000 0.0000
V 1.8677 1.8677 1.8677
Mn 0.0000 0.0000 1.8677

---

4
Lattice="-0.8167 1.4050 -2.6646 3.3444 -1.4889 -3.6435 9.2937 -8.4179 -7.3080" Properties=species:S:1:pos:R:3 comment="MnVN2 (PBE, relaxed)" total_energy_ev_per_atom=-9.29 m_tot_mub_per_atom=0.180 pbc="T T T"
N 3.4399 -1.2849 -6.7682
Mn 3.0263 -1.5931 -3.1428
V 7.7222 -5.8439 -6.8323
N 8.9681 -6.9666 -7.8133

---

5
Lattice="4.2394 0.0000 0.0000 0.0000 4.2394 0.0000 0.0000 0.0000 4.2394" Properties=species:S:1:pos:R:3 comment="MnV3N (PBE, relaxed)" de_polymorph_mev_per_atom=2103.9 m_tot_mub_per_atom=0.001 pbc="T T T"
V 2.1197 0.0000 0.0000
V 0.0000 0.0000 2.1197
V 0.0000 2.1197 0.0000
N 2.1197 2.1197 2.1197
Mn 0.0000 0.0000 0.0000

---

8
Lattice="-0.5719 -4.4109 -0.0711 4.2645 -0.5712 1.1297 0.7166 -2.4139 4.8327" Properties=species:S:1:pos:R:3 comment="MnVN2 (PBE, relaxed)" total_energy_ev_per_atom=-9.34 m_tot_mub_per_atom=0.903 pbc="T T T"
V 3.4137 -2.7381 3.2458
N 0.3624 -3.3726 1.3059
Mn 0.9955 -4.6579 2.6454
N 3.7113 -6.1621 4.5356
Mn 0.0000 0.0000 0.0000
N 1.9792 -3.6863 4.0366
V 1.8463 -2.4910 0.5293
N 2.7653 -1.5708 1.9044

---

5
Lattice="3.8020 0.0000 0.0000 0.0000 3.8020 0.0000 0.0000 0.0000 3.8020" Properties=species:S:1:pos:R:3 comment="MnVN3 (PBE, relaxed)" total_energy_ev_per_atom=-8.17 m_tot_mub_per_atom=0.641 pbc="T T T"
N 0.0000 0.0000 1.9010
V 0.0000 0.0000 0.0000
Mn 1.9010 1.9010 1.9010
N 0.0000 1.9010 0.0000
N 1.9010 0.0000 0.0000

---

3
Lattice="2.7345 0.0000 0.0000 0.0000 2.7345 0.0000 -1.3672 -1.3672 4.8277" Properties=species:S:1:pos:R:3 comment="MnVN (PBE, relaxed)" de_polymorph_mev_per_atom=264.5 m_tot_mub_per_atom=0.912 pbc="T T T"
V 0.0000 0.0000 1.8006
N 1.3672 1.3672 2.2423
Mn 1.3672 1.3672 4.1642

---

12
Lattice="-1.1651 2.8988 -4.9298 -4.3266 -2.2079 -0.2757 -1.8499 3.1596 3.7280" Properties=species:S:1:pos:R:3 comment="MnV4N (PBE, relaxed)" total_energy_ev_per_atom=-9.32 m_tot_mub_per_atom=0.000 pbc="T T T"
V -3.4241 2.2074 2.4588
V -4.5581 -0.4303 -1.5493
V -4.7639 2.4657 -1.4155
N -1.5075 3.0292 -0.6009
V -4.9838 0.6069 0.9983
Mn 0.0000 0.0000 0.0000
V -2.5777 1.3849 -0.0620
V -3.9176 1.6432 -3.9363
N -3.0883 0.4759 1.7261
V -2.7836 4.2809 0.0718
V -2.3579 3.2437 -2.4758
Mn -2.7459 0.3455 -2.6028

---

18
Lattice="4.9556 -0.0047 0.0091 1.6898 4.6591 0.0046 0.7337 2.2361 7.3888" Properties=species:S:1:pos:R:3 comment="Mn4VN4 (PBE, relaxed)" total_energy_ev_per_atom=-9.14 m_tot_mub_per_atom=0.861 pbc="T T T"
V 5.6833 5.6993 5.7579
Mn 4.8591 3.3893 1.6439
Mn 2.5209 3.5018 5.7580
N 5.7467 2.2758 2.9992
Mn 3.2912 5.7861 4.4912
N 3.2628 2.2727 4.4482
N 5.5981 3.9189 0.0650
Mn 2.4944 3.5083 0.0183
Mn 4.9352 3.4386 4.4576
N 1.6321 4.6144 4.4033
N 4.0845 4.5887 6.0161
Mn 2.4435 3.4516 2.9446
V 1.6952 1.1909 1.6444
N 1.7816 2.9717 7.3365
Mn 4.0876 1.1042 2.9111
N 4.1158 4.6176 2.9542
N 3.2946 2.3019 1.3871
Mn 4.8851 3.3822 7.3859

---

8
Lattice="-3.9988 -0.0446 -1.7384 1.5193 2.0308 -3.5471 2.0875 -4.8605 0.7917" Properties=species:S:1:pos:R:3 comment="Mn3VN4 (PBE, relaxed)" total_energy_ev_per_atom=-9.16 m_tot_mub_per_atom=0.803 pbc="T T T"
N -0.4143 -0.4628 -1.7951
N -1.6424 0.5210 -4.4131
Mn 1.1836 -0.9183 -2.6990
V 0.0000 0.0000 0.0000
Mn -1.5755 -1.9560 -1.7947
N 2.0031 -2.3894 -1.8376
N -0.7301 -3.4174 -0.9417
Mn -1.2397 0.9931 -2.6427

---

4
Lattice="-1.3428 2.4931 0.6401 -1.3151 0.3226 2.5680 3.2201 2.6659 2.9551" Properties=species:S:1:pos:R:3 comment="MnVN2 (PBE, relaxed)" total_energy_ev_per_atom=-9.28 m_tot_mub_per_atom=0.862 pbc="T T T"
N 0.1390 1.3698 1.5401
Mn 0.0000 0.0000 0.0000
V 0.2811 2.7408 3.0816
N 0.4232 4.1118 4.6231

---

14
Lattice="3.4343 -5.9483 0.0000 3.4343 5.9483 0.0000 0.0000 0.0000 3.8900" Properties=species:S:1:pos:R:3 comment="Mn3VN3 (PBE, relaxed)" total_energy_ev_per_atom=-9.15 m_tot_mub_per_atom=1.083 pbc="T T T"
Mn 1.5796 0.9120 2.9175
N 3.4343 -3.8399 2.9175
V 3.4343 -1.9828 2.9175
Mn 5.2889 0.9120 2.9175
Mn 3.4343 -4.1243 0.9725
N 5.0426 -1.0542 2.9175
N 1.8259 -1.0542 2.9175
N 5.0426 1.0542 0.9725
Mn 1.5796 -0.9120 0.9725
N 1.8259 1.0542 0.9725
Mn 3.4343 4.1243 2.9175
V 3.4343 1.9828 0.9725
N 3.4343 3.8399 0.9725
Mn 5.2889 -0.9120 0.9725

---

Number 2 is which compound? Mn3VN